First-principles (GGA-PBE) data for a relaxed ReTeN2F crystal, as listed in Alexandria.

Summary:
For the raw formation energy, the calculation gives 2.313 eV per atom. The final energy comes out at -22.55 eV/cell. As for the offset from the most stable computed form: 2159.7 meV per atom.

abc: 4.225 4.225 4.040
angles: 90.00 90.00 90.00
Fractional coordinates of all 5 atoms:
Re 0.000 0.000 0.000
Te 0.500 0.500 0.000
N 0.000 0.500 0.500
N 0.500 0.000 0.500
F 0.500 0.500 0.500

---

First-principles (GGA-PBE) data for a relaxed TiReN2F crystal, as listed in Alexandria.

Summary:
For the raw formation energy, the calculation gives 0.190 eV per atom. The final energy comes out at -37.91 eV/cell. As for the offset from the most stable computed form: 199.8 meV per atom.

abc: 4.013 4.013 3.714
angles: 90.00 90.00 90.00
Fractional coordinates of all 5 atoms:
Ti 0.000 0.000 0.000
Re 0.500 0.500 0.500
N 0.000 0.500 0.000
N 0.500 0.000 0.000
F 0.000 0.000 0.500

---

First-principles (GGA-PBE) data for a relaxed TiReN2F crystal, as listed in Alexandria.

Summary:
For the raw formation energy, the calculation gives -0.010 eV per atom. The final energy comes out at -38.91 eV/cell. As for the offset from the most stable computed form: 0.0 meV per atom.

abc: 3.906 3.906 3.985
angles: 90.00 90.00 90.00
Fractional coordinates of all 5 atoms:
Ti 0.000 0.000 0.000
Re 0.500 0.500 0.500
N 0.000 0.500 0.500
N 0.500 0.000 0.500
F 0.500 0.500 0.000

---

First-principles (GGA-PBE) data for a relaxed TlReNF2 crystal, as listed in Alexandria.

Summary:
For the raw formation energy, the calculation gives 0.819 eV per atom. The final energy comes out at -22.79 eV/cell. As for the offset from the most stable computed form: 1510.1 meV per atom.

abc: 4.429 4.429 4.381
angles: 90.00 90.00 90.00
Fractional coordinates of all 5 atoms:
Tl 0.000 0.000 0.000
Re 0.500 0.500 0.500
N 0.000 0.000 0.500
F 0.000 0.500 0.000
F 0.500 0.000 0.000

---

First-principles (GGA-PBE) data for a relaxed TlReNF2 crystal, as listed in Alexandria.

Summary:
For the raw formation energy, the calculation gives -0.691 eV per atom. The final energy comes out at -30.34 eV/cell. As for the offset from the most stable computed form: 0.0 meV per atom.

abc: 4.433 4.433 3.824
angles: 90.00 90.00 90.00
Fractional coordinates of all 5 atoms:
Tl 0.000 0.000 0.000
Re 0.500 0.500 0.500
N 0.500 0.500 0.000
F 0.000 0.500 0.500
F 0.500 0.000 0.500